First-principles (PBE-GGA) data for CaLa3Tc after structural relaxation, as listed in Alexandria via LeMat-Bulk.

Cell and atoms, written as CIF:
```
data_CaLa3Tc
_symmetry_space_group_name_H-M 'C 1 2 1'
_symmetry_Int_Tables_number 5
_cell_length_a 12.168
_cell_length_b 9.336
_cell_length_c 8.452
_cell_angle_alpha 90.00
_cell_angle_beta 134.00
_cell_angle_gamma 90.00
loop_
_symmetry_equiv_pos_as_xyz
'x,y,z'
'-x,y,-z'
'x+1/2,y+1/2,z'
'-x+1/2,y+1/2,-z'
loop_
_atom_site_label
_atom_site_fract_x
_atom_site_fract_y
_atom_site_fract_z
_atom_site_occupancy
Ca1 0.250 0.000 0.210 1
La1 0.040 0.300 0.245 1
La2 0.040 0.800 0.335 1
La3 0.250 0.090 0.790 1
Tc1 0.250 0.324 0.153 1
```

distance to the lowest polymorph of the same formula: 0.000 eV/atom
energy of formation from the pure elements: -0.016 eV/atom
DFT total energy: -108.92 eV for the cell shown